(1)
Compound: K2Na3ReO6
Source: Alexandria via LeMat-Bulk
Functional: GGA-PBE
Structure: optimized geometry

Cell and atoms, written as POSCAR:
```
K2Na3ReO6
1.0
3.1024 -5.5312 0.0000
3.1024 5.5312 0.0000
-2.1293 0.0000 5.3042
K Na Re O
2 3 1 6
Direct
0.1712 0.8288 0.0000
0.8288 0.1712 0.0000
0.0000 0.0000 0.5000
0.3583 0.6417 0.5000
0.6417 0.3583 0.5000
0.5000 0.5000 0.0000
0.1845 0.4291 0.7802
0.3083 0.3083 0.1953
0.4291 0.1845 0.7802
0.5709 0.8155 0.2198
0.6917 0.6917 0.8047
0.8155 0.5709 0.2198
```

SG: C2/m
E_form (uncorrected): -1.654 eV per atom
total magnetic moment: 0.0000 μB per atom
DFT total energy: -68.2 eV for the cell shown


(2)
Compound: K4NaRe3O12
Source: Alexandria via LeMat-Bulk
Functional: GGA-PBE
Structure: optimized geometry

Cell and atoms, written as POSCAR:
```
K4NaRe3O12
1.0
-4.0455 4.0455 4.0455
4.0455 -4.0455 4.0455
4.0455 4.0455 -4.0455
K Na Re O
4 1 3 12
Direct
0.0000 0.0000 0.5000
0.0000 0.5000 0.0000
0.5000 0.0000 0.0000
0.5000 0.5000 0.5000
0.0000 0.0000 0.0000
0.0000 0.5000 0.5000
0.5000 0.0000 0.5000
0.5000 0.5000 0.0000
0.0000 0.2758 0.2758
0.0000 0.7242 0.7242
0.2500 0.5000 0.7500
0.2500 0.7500 0.5000
0.2758 0.0000 0.2758
0.2758 0.2758 0.0000
0.5000 0.2500 0.7500
0.5000 0.7500 0.2500
0.7242 0.0000 0.7242
0.7242 0.7242 0.0000
0.7500 0.2500 0.5000
0.7500 0.5000 0.2500
```

SG: Im-3m
E_form (uncorrected): -1.659 eV per atom
total magnetic moment: 0.1032 μB per atom
DFT total energy: -135.7 eV for the cell shown


(3)
Compound: KNaReO4
Source: Alexandria via LeMat-Bulk
Functional: GGA-PBE
Structure: optimized geometry

Cell and atoms, written as POSCAR:
```
KNaReO4
1.0
-3.0800 3.0800 4.0269
3.0800 -3.0800 4.0269
3.0800 3.0800 -4.0269
K Na Re O
1 1 1 4
Direct
0.0000 0.0000 0.0000
0.5000 0.5000 0.0000
0.7500 0.2500 0.5000
0.0649 0.2017 0.5631
0.4982 0.9351 0.1368
0.6387 0.5018 0.4369
0.7983 0.3613 0.8632
```

SG: I-4
E_form (uncorrected): -1.696 eV per atom
total magnetic moment: 0.1429 μB per atom
DFT total energy: -46.6 eV for the cell shown


(4)
Compound: K3NaRe2O8
Source: Alexandria via LeMat-Bulk
Functional: GGA-PBE
Structure: optimized geometry

Cell and atoms, written as POSCAR:
```
K3NaRe2O8
1.0
6.1204 0.0000 0.0000
-3.0602 5.3004 0.0000
0.0000 0.0000 7.7980
K Na Re O
3 1 2 8
Direct
0.0000 0.0000 0.0000
0.3333 0.6667 0.6546
0.6667 0.3333 0.3454
0.0000 0.0000 0.5000
0.3333 0.6667 0.2126
0.6667 0.3333 0.7874
0.1755 0.3510 0.3024
0.1755 0.8245 0.3024
0.3333 0.6667 0.9832
0.3510 0.1755 0.6976
0.6490 0.8245 0.3024
0.6667 0.3333 0.0168
0.8245 0.1755 0.6976
0.8245 0.6490 0.6976
```

SG: P-3m1
E_form (uncorrected): -1.716 eV per atom
total magnetic moment: 0.1434 μB per atom
DFT total energy: -93.2 eV for the cell shown


(5)
Compound: K3NaRe2O9
Source: Alexandria via LeMat-Bulk
Functional: GGA-PBE
Structure: optimized geometry

Cell and atoms, written as POSCAR:
```
K3NaRe2O9
1.0
5.7532 0.0000 0.0000
-2.8766 4.9824 0.0000
0.0000 0.0000 7.3085
K Na Re O
3 1 2 9
Direct
0.0000 0.0000 0.0000
0.3333 0.6667 0.6703
0.6667 0.3333 0.3297
0.0000 0.0000 0.5000
0.3333 0.6667 0.1674
0.6667 0.3333 0.8326
0.0000 0.5000 0.0000
0.1800 0.3601 0.2975
0.1800 0.8200 0.2975
0.3601 0.1800 0.7025
0.5000 0.0000 0.0000
0.5000 0.5000 0.0000
0.6399 0.8200 0.2975
0.8200 0.1800 0.7025
0.8200 0.6399 0.7025
```

SG: P-3m1
E_form (uncorrected): -1.758 eV per atom
total magnetic moment: 0.0000 μB per atom
relative energy among the computed polymorphs: 63 meV per atom
DFT total energy: -100.5 eV for the cell shown


(6)
Compound: K3NaRe2O9
Source: Alexandria via LeMat-Bulk
Functional: GGA-PBE
Structure: optimized geometry

Cell and atoms, written as POSCAR:
```
K3NaRe2O9
1.0
6.1150 0.0000 0.0000
-3.0575 5.2958 0.0000
0.0000 0.0000 14.6128
K Na Re O
6 2 4 18
Direct
0.0000 0.0000 0.2500
0.0000 0.0000 0.7500
0.3333 0.6667 0.1181
0.3333 0.6667 0.3819
0.6667 0.3333 0.6181
0.6667 0.3333 0.8819
0.0000 0.0000 0.0000
0.0000 0.0000 0.5000
0.3333 0.6667 0.6496
0.3333 0.6667 0.8504
0.6667 0.3333 0.1496
0.6667 0.3333 0.3504
0.0610 0.5305 0.7500
0.1826 0.3652 0.5944
0.1826 0.3652 0.9056
0.1826 0.8174 0.5944
0.1826 0.8174 0.9056
0.3652 0.1826 0.0944
0.3652 0.1826 0.4056
0.4695 0.5305 0.7500
0.4695 0.9390 0.7500
0.5305 0.0610 0.2500
0.5305 0.4695 0.2500
0.6348 0.8174 0.5944
0.6348 0.8174 0.9056
0.8174 0.1826 0.0944
0.8174 0.1826 0.4056
0.8174 0.6348 0.0944
0.8174 0.6348 0.4056
0.9390 0.4695 0.2500
```

SG: P6_3/mmc
E_form (uncorrected): -1.821 eV per atom
total magnetic moment: 0.0000 μB per atom
relative energy among the computed polymorphs: 0 meV per atom
DFT total energy: -202.9 eV for the cell shown


(7)
Compound: KNa2RhO4
Source: Alexandria via LeMat-Bulk
Functional: GGA-PBE
Structure: optimized geometry

Cell and atoms, written as POSCAR:
```
KNa2RhO4
1.0
5.4449 -4.1831 0.0000
5.4449 4.1831 0.0000
-4.5539 0.0000 5.3890
K Na Rh O
2 4 2 8
Direct
0.0000 0.5000 0.0000
0.5000 0.0000 0.5000
0.0000 0.0000 0.0000
0.0000 0.0000 0.5000
0.0000 0.5000 0.5000
0.5000 0.0000 0.0000
0.5000 0.5000 0.0000
0.5000 0.5000 0.5000
0.2724 0.2731 0.2749
0.2731 0.2724 0.7749
0.2744 0.7261 0.5226
0.2739 0.7256 0.9774
0.7261 0.2744 0.0226
0.7256 0.2739 0.4774
0.7269 0.7276 0.2251
0.7276 0.7269 0.7251
```

SG: C2/c
E_form (uncorrected): -1.007 eV per atom
total magnetic moment: 0.2903 μB per atom
DFT total energy: -77.9 eV for the cell shown


(8)
Compound: K2NaRh3O8
Source: Alexandria via LeMat-Bulk
Functional: GGA-PBE
Structure: optimized geometry

Cell and atoms, written as POSCAR:
```
K2NaRh3O8
1.0
3.1537 1.8208 6.3644
-3.1537 1.8208 6.3644
0.0000 -3.6415 6.3644
K Na Rh O
2 1 3 8
Direct
0.0000 0.0000 0.0000
0.3531 0.3531 0.3531
0.5156 0.5156 0.5156
0.5003 0.9984 0.9984
0.9984 0.5003 0.9984
0.9984 0.9984 0.5003
0.1752 0.7418 0.7418
0.2177 0.2177 0.2177
0.2645 0.2645 0.8115
0.2645 0.8115 0.2645
0.7418 0.1752 0.7418
0.7418 0.7418 0.1752
0.7808 0.7808 0.7808
0.8115 0.2645 0.2645
```

SG: R3m
E_form (uncorrected): -1.007 eV per atom
total magnetic moment: 0.1422 μB per atom
DFT total energy: -79.3 eV for the cell shown


(9)
Compound: K3Na2RhO6
Source: Alexandria via LeMat-Bulk
Functional: GGA-PBE
Structure: optimized geometry

Cell and atoms, written as POSCAR:
```
K3Na2RhO6
1.0
2.9765 -5.1310 0.0000
2.9765 5.1310 0.0000
-1.9982 0.0000 5.9043
K Na Rh O
3 2 1 6
Direct
0.0000 0.0000 0.0000
0.3253 0.6747 0.0000
0.6747 0.3253 0.0000
0.1671 0.8329 0.5000
0.8329 0.1671 0.5000
0.5000 0.5000 0.5000
0.1612 0.4360 0.3106
0.2954 0.2954 0.6899
0.4360 0.1612 0.3106
0.5640 0.8388 0.6894
0.7046 0.7046 0.3101
0.8388 0.5640 0.6894
```

SG: C2/m
E_form (uncorrected): -1.067 eV per atom
total magnetic moment: 0.1630 μB per atom
DFT total energy: -55.8 eV for the cell shown


(10)
Compound: K2Na3RhO6
Source: Alexandria via LeMat-Bulk
Functional: GGA-PBE
Structure: optimized geometry

Cell and atoms, written as POSCAR:
```
K2Na3RhO6
1.0
3.1064 -5.5467 0.0000
3.1064 5.5467 0.0000
-2.0995 0.0000 5.3105
K Na Rh O
2 3 1 6
Direct
0.1705 0.8295 0.0000
0.8295 0.1705 0.0000
0.0000 0.0000 0.5000
0.3575 0.6425 0.5000
0.6425 0.3575 0.5000
0.5000 0.5000 0.0000
0.1773 0.4258 0.7743
0.3057 0.3057 0.2030
0.4258 0.1773 0.7743
0.5742 0.8227 0.2257
0.6943 0.6943 0.7970
0.8227 0.5742 0.2257
```

SG: C2/m
E_form (uncorrected): -1.056 eV per atom
total magnetic moment: 0.2224 μB per atom
DFT total energy: -55.9 eV for the cell shown